No. 1
This record from Alexandria via LeMat-Bulk describes HgH4Pd3 after structural relaxation. The functional is PBE-GGA.

Structure (extended XYZ):
```
8
Lattice="3.260 0.000 0.000 0.000 3.260 0.000 0.000 0.000 7.550" Properties=species:S:1:pos:R:3 pbc="T T T"
Hg 0.000 0.000 3.775
H 0.000 1.630 1.110
H 0.000 1.630 6.440
H 1.630 0.000 6.440
H 1.630 0.000 1.110
Pd 0.000 0.000 0.000
Pd 1.630 1.630 2.002
Pd 1.630 1.630 5.548
```

E (eV per atom): -3.715
Space-group type: P4/mmm, No. 123
D(E_F) (states/eV/atom): 0.2645
Volume (Å³ per atom): 10.03

=====

No. 2
This record from Alexandria via LeMat-Bulk describes HgHPd3 after structural relaxation. The functional is PBE-GGA.

Structure (extended XYZ):
```
10
Lattice="2.803 -4.654 0.000 2.803 4.654 0.000 0.000 0.000 5.615" Properties=species:S:1:pos:R:3 pbc="T T T"
H 2.803 3.380 1.404
H 2.803 -3.380 4.211
Hg 2.803 -0.049 1.404
Hg 2.803 0.049 4.211
Pd 1.377 2.264 1.404
Pd 4.229 2.264 1.404
Pd 1.377 -2.264 4.211
Pd 4.229 -2.264 4.211
Pd 0.000 0.000 0.000
Pd 0.000 0.000 2.807
```

E (eV per atom): -3.850
Space-group type: Cmcm, No. 63
D(E_F) (states/eV/atom): 0.4382
Volume (Å³ per atom): 14.65

=====

No. 3
This record from Alexandria via LeMat-Bulk describes Hg4H5Pd6 after structural relaxation. The functional is PBE-GGA.

Structure (extended XYZ):
```
30
Lattice="3.115 0.002 0.000 -1.533 9.788 0.000 0.000 0.000 13.668" Properties=species:S:1:pos:R:3 pbc="T T T"
Hg 1.579 9.200 3.879
Hg 0.002 0.590 10.713
Hg 0.015 4.013 3.680
Hg 1.566 5.777 10.514
Hg 1.566 5.662 6.905
Hg 0.015 4.128 0.071
Hg 0.000 0.486 6.816
Hg 1.582 9.304 13.650
H 0.023 8.339 9.641
H 1.559 1.451 2.807
H 0.002 2.939 8.415
H 1.579 6.851 1.581
H 1.555 2.949 5.881
H 0.026 6.841 12.716
H 0.025 7.899 7.790
H 1.556 1.891 0.956
H 0.029 6.427 3.245
H 1.553 3.363 10.079
Pd 1.587 6.384 4.087
Pd 0.014 7.933 6.072
Pd 1.583 6.481 13.477
Pd -0.002 3.309 6.643
Pd 0.011 8.029 11.355
Pd 1.571 1.761 4.521
Pd 0.022 7.734 1.942
Pd 1.560 2.056 8.776
Pd 0.002 1.648 1.885
Pd 1.580 8.142 8.719
Pd 1.567 1.857 12.906
Pd -0.005 3.406 10.921
```

E (eV per atom): -3.342
Space-group type: P2_1, No. 4
D(E_F) (states/eV/atom): 0.2026
Volume (Å³ per atom): 13.89

=====

No. 4
This record from Alexandria via LeMat-Bulk describes HgHPd3 after structural relaxation. The functional is PBE-GGA.

Structure (extended XYZ):
```
10
Lattice="3.983 -2.300 0.000 0.000 4.599 0.000 0.000 0.000 7.985" Properties=species:S:1:pos:R:3 pbc="T T T"
H 0.000 0.000 0.000
H 0.000 0.000 3.992
Hg 1.328 2.300 5.989
Hg 2.655 0.000 1.996
Pd 0.000 0.000 1.996
Pd 0.000 0.000 5.989
Pd 1.328 2.300 0.651
Pd 1.328 2.300 3.342
Pd 2.655 0.000 4.643
Pd 2.655 0.000 7.334
```

E (eV per atom): -3.744
Space-group type: P6_3/mmc, No. 194
D(E_F) (states/eV/atom): 0.3418
Volume (Å³ per atom): 14.63

=====

No. 5
This record from Alexandria via LeMat-Bulk describes Hg4H3Pd2 after structural relaxation. The functional is PBE-GGA.

Structure (extended XYZ):
```
9
Lattice="2.524 0.038 -1.412 0.309 5.611 -0.560 0.038 3.361 10.596" Properties=species:S:1:pos:R:3 pbc="T T T"
Hg 1.665 5.928 4.451
Hg 1.205 3.082 4.172
Hg 2.507 5.798 0.108
Hg 0.363 3.212 8.515
H 1.437 3.056 1.701
H 1.433 5.954 6.922
H 0.154 2.806 -0.280
Pd 0.633 6.038 8.492
Pd 2.237 2.973 0.131
```

E (eV per atom): -2.358
Space-group type: P-1, No. 2
D(E_F) (states/eV/atom): 0.1947
Volume (Å³ per atom): 17.06

=====

No. 6
This record from Alexandria via LeMat-Bulk describes Hg4HPd4 after structural relaxation. The functional is PBE-GGA.

Structure (extended XYZ):
```
9
Lattice="-3.192 -1.492 -6.271 5.670 3.858 -2.940 -0.014 -3.873 2.452" Properties=species:S:1:pos:R:3 pbc="T T T"
Hg 2.820 -1.841 0.898
Hg -1.595 -4.549 -0.746
Hg 1.658 -1.181 -2.002
Hg 0.783 -0.100 -4.898
H -3.135 -2.315 -5.735
Pd 4.273 -0.219 -0.909
Pd 0.224 -2.612 0.027
Pd -1.830 -1.049 -6.002
Pd 2.212 1.292 -6.883
```

E (eV per atom): -2.882
Space-group type: P1, No. 1
D(E_F) (states/eV/atom): 0.3635
Volume (Å³ per atom): 18.25